No. 1
Compound: Ho2AlFe
Source: Alexandria via LeMat-Bulk
Functional: GGA-PBE
Structure: relaxed

abc: 3.4149 3.4149 7.0877
angles: 90.00 90.00 90.00
With the nearest neighbours (Å) after each atom.
Atoms (fractional coordinates):
Al: 0.5000 0.5000 0.5000  8 Ho 3.11, 4 Al 3.41
Ho: 0.0000 0.0000 0.7764  4 Fe 2.89, 4 Al 3.11, 1 Ho 3.17
Ho: 0.0000 0.0000 0.2236  4 Fe 2.89, 4 Al 3.11, 1 Ho 3.17
Fe: 0.5000 0.5000 0.0000  8 Ho 2.89

Output
distance to the lowest polymorph of the same formula	0.000	eV per atom
energy relative to the elements	-0.1378	eV/atom
magnetic moment	0.00	μB/f.u.


No. 2
Compound: HoAl3Fe
Source: Alexandria via LeMat-Bulk
Functional: GGA-PBE
Structure: relaxed

abc: 5.2265 5.7816 6.5313
angles: 116.27 90.00 90.00
With the nearest neighbours (Å) after each atom.
Atoms (fractional coordinates):
Ho: 0.2500 0.3955 0.7909  8 Al 3.01-3.15
Ho: 0.7500 0.6045 0.2091  8 Al 3.01-3.15
Al: 0.2500 0.8224 0.6449  2 Fe 2.46, 2 Al 2.70
Al: 0.7500 0.1776 0.3551  2 Fe 2.46, 2 Al 2.70
Al: 0.2500 0.3704 0.2626  2 Fe 2.45, 1 Al 2.70
Al: 0.7500 0.6296 0.7374  2 Fe 2.45, 1 Al 2.70
Al: 0.2500 0.8922 0.2626  2 Fe 2.45, 1 Al 2.70
Al: 0.7500 0.1078 0.7374  2 Fe 2.45, 1 Al 2.70
Fe: 0.0000 0.0000 0.0000  6 Al 2.45-2.46, 2 Fe 2.61
Fe: 0.5000 0.0000 0.0000  6 Al 2.45-2.46, 2 Fe 2.61

Output
distance to the lowest polymorph of the same formula	0.000	eV per atom
energy relative to the elements	-0.3274	eV/atom
magnetic moment	1.26	μB/f.u.


No. 3
Compound: HoAl7Fe5
Source: Alexandria via LeMat-Bulk
Functional: GGA-PBE
Structure: relaxed

abc: 6.5937 6.5937 6.5937
angles: 135.32 98.40 98.21
With the nearest neighbours (Å) after each atom.
Atoms (fractional coordinates):
Ho: 0.0052 0.0000 0.0052  10 Al 2.88-3.20, 2 Fe 3.19
Al: 0.6602 0.0000 0.6602  4 Fe 2.61, 5 Al 2.69-2.84
Al: 0.3396 0.0000 0.3396  6 Fe 2.61-2.66, 3 Al 2.76-2.88, 1 Ho 2.88
Al: 0.3334 0.3421 0.9914  5 Fe 2.57-2.66, 4 Al 2.73-2.79
Al: 0.6493 0.6579 0.9914  5 Fe 2.57-2.66, 4 Al 2.73-2.79
Al: 0.7737 0.5000 0.2737  4 Fe 2.50, 6 Al 2.69-2.79
Al: 0.7953 0.2906 0.5047  5 Fe 2.48-2.68, 3 Al 2.69-2.76
Al: 0.2141 0.7094 0.5047  5 Fe 2.48-2.68, 3 Al 2.69-2.76
Fe: 0.4989 0.4979 0.4961  7 Al 2.48-2.66, 3 Fe 2.48-2.53
Fe: 0.4989 0.0028 0.0010  7 Al 2.48-2.66, 3 Fe 2.48-2.53
Fe: 0.9982 0.9972 0.4961  7 Al 2.48-2.66, 3 Fe 2.48-2.53
Fe: 0.9982 0.5021 0.0010  7 Al 2.48-2.66, 3 Fe 2.48-2.53
Fe: 0.2349 0.5000 0.7349  4 Fe 2.51, 6 Al 2.60-2.68

Output
energy relative to the elements	-0.3971	eV/atom
magnetic moment	8.05	μB/f.u.


No. 4
Compound: HoAl2Fe6
Source: Alexandria via LeMat-Bulk
Functional: GGA-PBE
Structure: relaxed

abc: 4.1178 6.7313 6.7313
angles: 47.78 72.19 72.19
With the nearest neighbours (Å) after each atom.
Atoms (fractional coordinates):
Ho: 0.0000 0.0000 0.0000  4 Fe 2.67
Al: 0.8841 0.6159 0.6159  10 Fe 2.53-2.68, 1 Al 2.69
Al: 0.1159 0.3841 0.3841  10 Fe 2.53-2.68, 1 Al 2.69
Fe: 0.6969 0.0415 0.5647  3 Fe 2.32-2.40, 1 Al 2.53
Fe: 0.3031 0.9585 0.4353  3 Fe 2.32-2.40, 1 Al 2.53
Fe: 0.3031 0.4353 0.9585  3 Fe 2.32-2.40, 1 Al 2.53
Fe: 0.5000 0.6894 0.3106  1 Fe 2.07
Fe: 0.5000 0.3106 0.6894  1 Fe 2.07
Fe: 0.6969 0.5647 0.0415  3 Fe 2.32-2.40, 1 Al 2.53

Output
energy relative to the elements	0.0986	eV/atom
magnetic moment	10.07	μB/f.u.


No. 5
Compound: Ho2AlFe
Source: Alexandria via LeMat-Bulk
Functional: GGA-PBE
Structure: relaxed

abc: 4.9475 4.9475 4.9475
angles: 60.00 60.00 60.00
With the nearest neighbours (Å) after each atom.
Atoms (fractional coordinates):
Al: 0.0000 0.0000 0.0000  8 Ho 3.03
Ho: 0.2500 0.2500 0.2500  4 Fe 3.03, 4 Al 3.03
Ho: 0.7500 0.7500 0.7500  4 Fe 3.03, 4 Al 3.03
Fe: 0.5000 0.5000 0.5000  8 Ho 3.03

Output
distance to the lowest polymorph of the same formula	0.054	eV per atom
energy relative to the elements	-0.0839	eV/atom
magnetic moment	1.32	μB/f.u.


No. 6
Compound: Ho2AlFe
Source: Alexandria via LeMat-Bulk
Functional: GGA-PBE
Structure: relaxed

abc: 3.2481 3.2481 10.3477
angles: 80.97 80.97 60.00
With the nearest neighbours (Å) after each atom.
Atoms (fractional coordinates):
Al: 0.5000 0.5000 0.5000  6 Ho 3.06, 6 Al 3.25
Ho: 0.0875 0.0875 0.7374  1 Fe 2.67
Ho: 0.9125 0.9125 0.2626  1 Fe 2.67
Fe: 0.0000 0.0000 0.0000  2 Ho 2.67

Output
distance to the lowest polymorph of the same formula	0.593	eV per atom
energy relative to the elements	0.4552	eV/atom
magnetic moment	1.99	μB/f.u.


No. 7
Compound: HoAl6Fe6
Source: Alexandria via LeMat-Bulk
Functional: GGA-PBE
Structure: relaxed

abc: 6.5439 6.5439 6.5439
angles: 135.24 99.11 97.56
With the nearest neighbours (Å) after each atom.
Atoms (fractional coordinates):
Ho: 0.0000 0.0000 0.0000  8 Al 2.86-2.99
Al: 0.3463 0.3463 0.0000  6 Fe 2.58-2.60, 3 Al 2.65-2.83
Al: 0.6537 0.6537 0.0000  6 Fe 2.58-2.60, 3 Al 2.65-2.83
Al: 0.6629 0.0000 0.6629  6 Fe 2.60-2.62, 1 Al 2.77, 1 Ho 2.86
Al: 0.3371 0.0000 0.3371  6 Fe 2.60-2.62, 1 Al 2.77, 1 Ho 2.86
Al: 0.8083 0.3083 0.5000  6 Fe 2.51-2.62
Al: 0.1917 0.6917 0.5000  6 Fe 2.51-2.62
Fe: 0.5000 0.0000 0.0000  4 Fe 2.49, 6 Al 2.51-2.60
Fe: 0.5000 0.5000 0.5000  4 Fe 2.49, 6 Al 2.51-2.60
Fe: 0.0000 0.0000 0.5000  4 Fe 2.49, 6 Al 2.51-2.60
Fe: 0.0000 0.5000 0.0000  4 Fe 2.49, 6 Al 2.51-2.60
Fe: 0.2397 0.5000 0.7397  4 Fe 2.49, 6 Al 2.58-2.62
Fe: 0.7603 0.5000 0.2603  4 Fe 2.49, 6 Al 2.58-2.62

Output
energy relative to the elements	-0.3856	eV/atom
magnetic moment	10.08	μB/f.u.


No. 8
Compound: Ho3Al2Fe7
Source: Alexandria via LeMat-Bulk
Functional: GGA-PBE
Structure: relaxed

abc: 5.1569 5.1569 8.6189
angles: 72.59 72.59 60.00
With the nearest neighbours (Å) after each atom.
Atoms (fractional coordinates):
Ho: 0.0000 0.0000 0.0000  6 Al 2.98, 12 Fe 3.28
Ho: 0.8596 0.8596 0.4213  12 Fe 2.93-3.05, 3 Ho 3.24
Ho: 0.1404 0.1404 0.5787  12 Fe 2.93-3.05, 3 Ho 3.24
Al: 0.6670 0.6670 0.9990  6 Fe 2.51-2.52
Al: 0.3330 0.3330 0.0010  6 Fe 2.51-2.52
Fe: 0.5000 0.5000 0.5000  6 Fe 2.51
Fe: 0.9156 0.4171 0.2501  5 Fe 2.51-2.59, 2 Al 2.51-2.52
Fe: 0.4171 0.9156 0.2501  5 Fe 2.51-2.59, 2 Al 2.51-2.52
Fe: 0.4171 0.4171 0.2501  5 Fe 2.51-2.59, 2 Al 2.51-2.52
Fe: 0.0844 0.5829 0.7499  5 Fe 2.51-2.59, 2 Al 2.51-2.52
Fe: 0.5829 0.5829 0.7499  5 Fe 2.51-2.59, 2 Al 2.51-2.52
Fe: 0.5829 0.0844 0.7499  5 Fe 2.51-2.59, 2 Al 2.51-2.52

Output
energy relative to the elements	-0.2243	eV/atom
magnetic moment	11.40	μB/f.u.


No. 9
Compound: Ho3Al9Fe2
Source: Alexandria via LeMat-Bulk
Functional: GGA-PBE
Structure: relaxed

abc: 4.2877 8.0231 8.0231
angles: 73.11 74.50 74.50
With the nearest neighbours (Å) after each atom.
Atoms (fractional coordinates):
Ho: 0.0000 0.0000 0.0000  12 Al 3.10-3.11
Ho: 0.6987 0.3013 0.3013  2 Fe 2.92, 10 Al 3.11-3.23
Ho: 0.3013 0.6987 0.6987  2 Fe 2.92, 10 Al 3.11-3.23
Al: 0.0000 0.5000 0.5000  4 Al 2.56, 4 Fe 2.70
Al: 0.6475 0.9932 0.7118  1 Fe 2.54, 3 Al 2.56-2.69
Al: 0.3525 0.0068 0.2882  1 Fe 2.54, 3 Al 2.56-2.69
Al: 0.6475 0.7118 0.9932  1 Fe 2.54, 3 Al 2.56-2.69
Al: 0.3525 0.2882 0.0068  1 Fe 2.54, 3 Al 2.56-2.69
Al: 0.8752 0.8411 0.4085  4 Al 2.56-2.86, 2 Fe 2.66
Al: 0.1248 0.1589 0.5915  4 Al 2.56-2.86, 2 Fe 2.66
Al: 0.8752 0.4085 0.8411  4 Al 2.56-2.86, 2 Fe 2.66
Al: 0.1248 0.5915 0.1589  4 Al 2.56-2.86, 2 Fe 2.66
Fe: 0.5000 0.3284 0.6716  8 Al 2.54-2.70
Fe: 0.5000 0.6716 0.3284  8 Al 2.54-2.70

Output
energy relative to the elements	-0.4122	eV/atom
magnetic moment	1.08	μB/f.u.


No. 10
Compound: HoAl8Fe2
Source: Alexandria via LeMat-Bulk
Functional: GGA-PBE
Structure: relaxed

abc: 4.5800 6.6083 6.6083
angles: 103.53 97.89 97.89
With the nearest neighbours (Å) after each atom.
Atoms (fractional coordinates):
Ho: 0.5000 0.0000 0.0000  12 Al 2.93-3.21
Al: 0.9070 0.9113 0.6481  2 Fe 2.41-2.55, 1 Al 2.68
Al: 0.9070 0.6481 0.9113  2 Fe 2.41-2.55, 1 Al 2.68
Al: 0.2656 0.6067 0.6067  2 Fe 2.55, 5 Al 2.66-2.76
Al: 0.5000 0.7177 0.2823  2 Fe 2.29
Al: 0.5000 0.2823 0.7177  2 Fe 2.29
Al: 0.7344 0.3933 0.3933  2 Fe 2.55, 5 Al 2.66-2.76
Al: 0.0930 0.3519 0.0887  2 Fe 2.41-2.55, 1 Al 2.68
Al: 0.0930 0.0887 0.3519  2 Fe 2.41-2.55, 1 Al 2.68
Fe: 0.0000 0.2907 0.7093  8 Al 2.29-2.55
Fe: 0.0000 0.7093 0.2907  8 Al 2.29-2.55

Output
energy relative to the elements	-0.1899	eV/atom
magnetic moment	0.00	μB/f.u.


No. 11
Compound: HoAl2Fe9
Source: Alexandria via LeMat-Bulk
Functional: GGA-PBE
Structure: relaxed

abc: 4.6232 8.0455 8.0455
angles: 90.00 90.00 90.00
With the nearest neighbours (Å) after each atom.
Atoms (fractional coordinates):
Ho: 0.0000 0.5000 0.5000  16 Fe 2.92-3.15, 4 Al 3.20
Ho: 0.0000 0.0000 0.0000  16 Fe 2.92-3.15, 4 Al 3.20
Al: 0.0000 0.6205 0.1205  12 Fe 2.55-2.71, 1 Al 2.74
Al: 0.0000 0.3795 0.8795  12 Fe 2.55-2.71, 1 Al 2.74
Al: 0.0000 0.1205 0.3795  12 Fe 2.55-2.71, 1 Al 2.74
Al: 0.0000 0.8795 0.6205  12 Fe 2.55-2.71, 1 Al 2.74
Fe: 0.5000 0.5000 0.0000  8 Fe 2.36-2.39
Fe: 0.5000 0.0000 0.5000  8 Fe 2.36-2.39
Fe: 0.5000 0.7109 0.5669  8 Fe 2.39-2.53
Fe: 0.5000 0.2891 0.4331  8 Fe 2.39-2.53
Fe: 0.5000 0.2109 0.9331  8 Fe 2.39-2.53
Fe: 0.5000 0.7891 0.0669  8 Fe 2.39-2.53
Fe: 0.5000 0.4331 0.7109  8 Fe 2.39-2.53
Fe: 0.5000 0.5669 0.2891  8 Fe 2.39-2.53
Fe: 0.5000 0.0669 0.2109  8 Fe 2.39-2.53
Fe: 0.5000 0.9331 0.7891  8 Fe 2.39-2.53
Fe: 0.7686 0.8236 0.3236  2 Fe 2.14-2.36
Fe: 0.7686 0.1764 0.6764  2 Fe 2.14-2.36
Fe: 0.7686 0.3236 0.1764  2 Fe 2.14-2.36
Fe: 0.7686 0.6764 0.8236  2 Fe 2.14-2.36
Fe: 0.2314 0.1764 0.6764  2 Fe 2.14-2.36
Fe: 0.2314 0.8236 0.3236  2 Fe 2.14-2.36
Fe: 0.2314 0.6764 0.8236  2 Fe 2.14-2.36
Fe: 0.2314 0.3236 0.1764  2 Fe 2.14-2.36

Output
energy relative to the elements	-0.1580	eV/atom
magnetic moment	5.65	μB/f.u.


No. 12
Compound: HoAlFe4
Source: Alexandria via LeMat-Bulk
Functional: GGA-PBE
Structure: relaxed

abc: 4.1157 5.6956 7.9025
angles: 90.00 105.09 90.00
With the nearest neighbours (Å) after each atom.
Atoms (fractional coordinates):
Ho: 0.1256 0.2500 0.2513  7 Fe 2.76-3.01, 2 Al 3.07
Ho: 0.8744 0.7500 0.7487  7 Fe 2.76-3.01, 2 Al 3.07
Al: 0.2252 0.7500 0.4504  7 Fe 2.49-2.55
Al: 0.7748 0.2500 0.5496  7 Fe 2.49-2.55
Fe: 0.5000 0.5000 0.0000  6 Fe 2.41-2.68
Fe: 0.5000 0.0000 0.0000  6 Fe 2.41-2.68
Fe: 0.6561 0.9388 0.3123  2 Fe 2.15-2.41
Fe: 0.3439 0.0612 0.6877  2 Fe 2.15-2.41
Fe: 0.3439 0.4388 0.6877  2 Fe 2.15-2.41
Fe: 0.6561 0.5612 0.3123  2 Fe 2.15-2.41
Fe: 0.0620 0.7500 0.1241  1 Al 2.49, 8 Fe 2.68-2.73
Fe: 0.9380 0.2500 0.8759  1 Al 2.49, 8 Fe 2.68-2.73

Output
energy relative to the elements	0.0220	eV/atom
magnetic moment	8.16	μB/f.u.